No. 1
# Ru5Pb4

A relaxed structure of Ru5Pb4 (PBE-GGA, Alexandria via LeMat-Bulk).

Output
calculated formation energy	0.67	eV/atom

Cell and atoms, written as POSCAR:
```
Ru5Pb4
1.0
8.0948 0.0000 0.0000
-4.0474 7.0103 0.0000
0.0000 0.0000 5.8555
Ru Pb
10 8
direct
0.3333 0.6667 0.5000
0.6667 0.3333 0.5000
0.3333 0.6667 0.0000
0.0000 0.2931 0.7500
0.7069 0.0000 0.2500
0.6667 0.3333 0.0000
0.2931 0.0000 0.7500
0.2931 0.2931 0.2500
0.0000 0.7069 0.2500
0.7069 0.7069 0.7500
0.0000 0.0000 0.5000
0.0000 0.0000 0.0000
0.3774 0.3774 0.7500
0.0000 0.3774 0.2500
0.6226 0.6226 0.2500
0.6226 0.0000 0.7500
0.0000 0.6226 0.7500
0.3774 0.0000 0.2500
```

***

No. 2
# Ho4Tm5Zn

A relaxed structure of Ho4Tm5Zn (PBE-GGA, Alexandria via LeMat-Bulk).

Output
calculated formation energy	-0.05	eV/atom

Cell and atoms, written as POSCAR:
```
Ho4Tm5Zn
1.0
3.5009 0.0000 0.0000
0.0000 3.5009 0.0000
0.0000 0.0000 23.5409
Ho Tm Zn
4 5 1
direct
0.0000 0.0000 0.8171
0.0000 0.0000 0.1829
0.0000 0.0000 0.6057
0.0000 0.0000 0.3943
0.5000 0.5000 0.0748
0.5000 0.5000 0.5000
0.5000 0.5000 0.7121
0.5000 0.5000 0.2879
0.5000 0.5000 0.9252
0.0000 0.0000 0.0000
```

***

No. 3
# CaCuBRh2

A relaxed structure of CaCuBRh2 (PBE-GGA, Alexandria via LeMat-Bulk).

Output
calculated formation energy	-0.39	eV/atom

Cell and atoms, written as POSCAR:
```
CaCuBRh2
1.0
4.2173 0.0000 0.0000
0.0000 4.2173 0.0000
0.0000 0.0000 4.0961
Cu B Ca Rh
1 1 1 2
direct
0.0000 0.0000 0.5000
0.0000 0.0000 0.0000
0.5000 0.5000 0.5000
0.0000 0.5000 0.0000
0.5000 0.0000 0.0000
```

***

No. 4
# TmPuNp2As4

A relaxed structure of TmPuNp2As4 (PBE-GGA, Alexandria via LeMat-Bulk).

Output
calculated formation energy	-0.97	eV/atom

Cell and atoms, written as POSCAR:
```
TmPuNp2As4
1.0
4.0954 0.0000 0.0000
0.0000 7.0856 0.1202
0.0000 -2.4785 6.6950
Pu Tm As Np
1 1 4 2
direct
0.0000 0.0000 0.0000
0.5000 0.5000 0.0000
0.0000 0.7483 0.2501
0.5000 0.7479 0.7490
0.0000 0.2517 0.7499
0.5000 0.2521 0.2510
0.5000 0.0000 0.5000
0.0000 0.5000 0.5000
```